Record 1
Here is crystalline TcNi2MoW at its relaxed geometry from Alexandria. Energies are from PBE.

abc: 4.423 4.423 4.594
angles: 90.00 90.00 90.00
Positions (direct):
Tc  0.000  0.000  0.000
Ni  0.000  0.500  0.500
Ni  0.500  0.000  0.500
Mo  0.500  0.500  0.000
W  0.000  0.000  0.500

DOS(E_F) (states/eV/cell): 8.24
Calculated total energy (eV/atom): -7.374
Symmetry: P4/mmm


Record 2
Here is crystalline MnSb4 at its relaxed geometry from Alexandria. Energies are from PBE.

abc: 5.652 5.652 5.652
angles: 109.47 109.47 109.47
Positions (direct):
Mn  0.000  0.000  0.000
Sb  0.000  0.000  0.500
Sb  0.000  0.500  0.000
Sb  0.500  0.000  0.000
Sb  0.500  0.500  0.500

DOS(E_F) (states/eV/cell): 4.54
Calculated total energy (eV/atom): -4.922
Symmetry: Im-3m


Record 3
Here is crystalline Ba3ScC2N6 at its relaxed geometry from Alexandria. Energies are from PBE.

abc: 5.666 5.666 6.892
angles: 90.00 90.00 120.00
Positions (direct):
Ba  0.000  0.000  0.000
Ba  0.333  0.667  0.692
Ba  0.667  0.333  0.308
Sc  0.000  0.000  0.500
C  0.333  0.667  0.296
C  0.667  0.333  0.704
N  0.193  0.385  0.303
N  0.193  0.807  0.303
N  0.385  0.193  0.697
N  0.615  0.807  0.303
N  0.807  0.193  0.697
N  0.807  0.615  0.697

DOS(E_F) (states/eV/cell): 4.68
Calculated total energy (eV/atom): -7.331
Symmetry: P-3m1


Record 4
Here is crystalline Re2PSe at its relaxed geometry from Alexandria. Energies are from PBE.

abc: 5.571 5.571 5.571
angles: 149.73 134.16 55.92
Positions (direct):
Re  0.198  0.198  0.000
Re  0.802  0.802  0.000
P  0.000  0.500  0.500
Se  0.500  0.000  0.500

DOS(E_F) (states/eV/cell): 3.01
Calculated total energy (eV/atom): -7.879
Symmetry: Immm


Record 5
Here is crystalline Li2MnHg at its relaxed geometry from Alexandria. Energies are from PBE.

abc: 3.341 3.341 6.037
angles: 90.00 90.00 90.00
Positions (direct):
Li  0.000  0.000  0.247
Li  0.000  0.000  0.753
Mn  0.500  0.500  0.500
Hg  0.500  0.500  0.000

DOS(E_F) (states/eV/cell): 1.88
Calculated total energy (eV/atom): -3.247
Symmetry: P4/mmm


Record 6
Here is crystalline DyAs2 at its relaxed geometry from Alexandria. Energies are from PBE.

abc: 9.204 9.204 9.204
angles: 155.55 155.55 34.85
Positions (direct):
Dy  0.136  0.136  0.000
Dy  0.864  0.864  0.000
As  0.000  0.500  0.500
As  0.307  0.307  0.000
As  0.500  0.000  0.500
As  0.693  0.693  0.000

DOS(E_F) (states/eV/cell): 3.73
Calculated total energy (eV/atom): -5.440
Symmetry: I4/mmm


Record 7
Here is crystalline Dy4TmMgS8 at its relaxed geometry from Alexandria. Energies are from PBE.

abc: 7.948 7.948 7.948
angles: 60.08 60.08 60.08
Positions (direct):
Dy  0.000  0.000  0.000
Dy  0.133  0.622  0.622
Dy  0.622  0.133  0.622
Dy  0.622  0.622  0.133
Tm  0.622  0.622  0.622
Mg  0.250  0.250  0.250
S  0.378  0.378  0.378
S  0.380  0.380  0.863
S  0.380  0.863  0.380
S  0.401  0.864  0.864
S  0.863  0.380  0.380
S  0.864  0.401  0.864
S  0.864  0.864  0.401
S  0.867  0.867  0.867

DOS(E_F) (states/eV/cell): 3.42
Calculated total energy (eV/atom): -6.026
Symmetry: R3m


Record 8
Here is crystalline Sr6AgSn2 at its relaxed geometry from Alexandria. Energies are from PBE.

abc: 7.515 8.995 13.072
angles: 90.00 123.06 90.00
Positions (direct):
Sr  0.100  0.174  0.438
Sr  0.100  0.326  0.938
Sr  0.286  0.681  0.436
Sr  0.286  0.819  0.936
Sr  0.395  0.038  0.266
Sr  0.395  0.462  0.766
Sr  0.605  0.538  0.234
Sr  0.605  0.962  0.734
Sr  0.714  0.181  0.064
Sr  0.714  0.319  0.564
Sr  0.900  0.674  0.062
Sr  0.900  0.826  0.562
Ag  0.000  0.000  0.000
Ag  0.000  0.500  0.500
Sn  0.201  0.116  0.747
Sn  0.201  0.384  0.247
Sn  0.799  0.616  0.753
Sn  0.799  0.884  0.253

DOS(E_F) (states/eV/cell): 10.39
Calculated total energy (eV/atom): -2.718
Symmetry: P2_1/c


Record 9
Here is crystalline Sc2Ga6Os at its relaxed geometry from Alexandria. Energies are from PBE.

abc: 6.731 6.731 4.086
angles: 90.00 90.00 122.09
Positions (direct):
Sc  0.208  0.792  0.000
Sc  0.792  0.208  0.000
Ga  0.155  0.446  0.500
Ga  0.256  0.256  0.000
Ga  0.446  0.155  0.500
Ga  0.554  0.845  0.500
Ga  0.744  0.744  0.000
Ga  0.845  0.554  0.500
Os  0.000  0.000  0.500

DOS(E_F) (states/eV/cell): 5.50
Calculated total energy (eV/atom): -5.059
Symmetry: Cmmm


Record 10
Here is crystalline LiLa2Co at its relaxed geometry from Alexandria. Energies are from PBE.

abc: 5.367 5.367 5.367
angles: 130.26 130.26 72.99
Positions (direct):
Li  0.000  0.000  0.000
La  0.500  0.500  0.000
La  0.750  0.250  0.500
Co  0.250  0.750  0.500

DOS(E_F) (states/eV/cell): 4.30
Calculated total energy (eV/atom): -4.487
Symmetry: I-4m2


Record 11
Here is crystalline ErMgScMo at its relaxed geometry from Alexandria. Energies are from PBE.

abc: 4.940 4.940 4.940
angles: 60.00 60.00 60.00
Positions (direct):
Er  0.000  0.000  0.000
Mg  0.250  0.250  0.250
Sc  0.500  0.500  0.500
Mo  0.750  0.750  0.750

DOS(E_F) (states/eV/cell): 5.51
Calculated total energy (eV/atom): -5.649
Symmetry: F-43m


Record 12
Here is crystalline Li3Nd2MgSn4 at its relaxed geometry from Alexandria. Energies are from PBE.

abc: 4.438 4.438 11.932
angles: 90.00 90.00 90.00
Positions (direct):
Li  0.000  0.000  0.000
Li  0.000  0.500  0.633
Li  0.500  0.000  0.367
Nd  0.000  0.500  0.264
Nd  0.500  0.000  0.736
Mg  0.500  0.500  0.000
Sn  0.000  0.000  0.500
Sn  0.000  0.500  0.848
Sn  0.500  0.000  0.152
Sn  0.500  0.500  0.500

DOS(E_F) (states/eV/cell): 3.22
Calculated total energy (eV/atom): -3.823
Symmetry: P-4m2